# Ta2TcAs, optimized geometry, DFT PBEsol
# - energy of formation (kJ per mole of atoms) = -8.8
# - E_tot (eV/atom) = -10.460
# - DOS(E_F) (states/eV per cell) = 2.9
# - volume (Å³/atom) = 15.9
data_Ta2TcAs
_chemical_formula_sum 'Ta2 Tc1 As1'
_symmetry_space_group_name_H-M 'P 1'
_symmetry_Int_Tables_number 1
_cell_length_a 2.995
_cell_length_b 4.040
_cell_length_c 5.267
_cell_angle_alpha 90.00
_cell_angle_beta 90.00
_cell_angle_gamma 90.00
loop_
_symmetry_equiv_pos_as_xyz
'x,y,z'
loop_
_atom_site_label
_atom_site_fract_x
_atom_site_fract_y
_atom_site_fract_z
Ta1 0.000 0.000 0.245
Ta2 0.000 0.000 0.755
Tc1 0.500 0.500 0.000
As1 0.500 0.500 0.500